--- P ---
Pm2PrEr9 | PBE | optimized geometry

abc: 11.2161 11.2161 3.5131
angles: 90.00 90.00 120.00
Space group P6/mmm (No. 191)
Unique sites:
Pm (0.3333, 0.6667, 0.0000)
Pr (0.0000, 0.0000, 0.0000)
Er (0.0000, 0.5000, 0.0000)
Er (0.1767, 0.3534, 0.5000)

Values from the calculation:
- spin magnetization (μB/cell) = 0.00
- Fermi-level density of states (states/eV per atom) = 1.526


--- Q ---
Pm2PrEr9 | PBE | optimized geometry

abc: 5.016 5.016 15.046
angles: 90.00 90.00 90.00
Space group P4/mmm (No. 123)
Unique sites:
Pm (0.000, 0.000, 0.167)
Pr (0.000, 0.000, 0.500)
Er (0.000, 0.500, 0.000)
Er (0.000, 0.500, 0.332)
Er (0.500, 0.500, 0.166)
Er (0.500, 0.500, 0.500)

Values from the calculation:
- spin magnetization (μB/cell) = 0.00
- Fermi-level density of states (states/eV per atom) = 1.422


Which is the most stable structure? Q is the most stable.


--- P ---
Pm3Pr2Er4 | PBE | optimized geometry

abc: 11.328 5.101 10.814
angles: 90.00 108.00 90.00
Space group C2/m (No. 12)
Unique sites:
Pm (0.000, 0.000, 0.000)
Pm (0.167, 0.500, 0.557)
Pr (0.166, 0.500, 0.220)
Er (0.000, 0.000, 0.334)
Er (0.166, 0.500, 0.889)

Values from the calculation:
- spin magnetization (μB/cell) = 0.00
- Fermi-level density of states (states/eV per atom) = 1.299


--- Q ---
Pm3Pr2Er4 | PBE | optimized geometry

abc: 16.632 11.687 6.148
angles: 90.00 96.71 90.00
Space group C2/c (No. 15)
Unique sites:
Pm (0.000, 0.102, 0.250)
Pm (0.164, 0.400, 0.104)
Pr (0.124, 0.140, 0.821)
Er (0.047, 0.363, 0.520)
Er (0.220, 0.137, 0.349)

Values from the calculation:
- spin magnetization (μB/cell) = 0.00
- Fermi-level density of states (states/eV per atom) = 1.366


Which is the most stable structure? P is the most stable.


--- P ---
Pm7Pr4Er | PBE | optimized geometry

abc: 12.209 6.106 12.997
angles: 90.00 117.50 90.00
Space group C2/m (No. 12)
Unique sites:
Pm (0.000, 0.000, 0.000)
Pm (0.134, 0.500, 0.503)
Pm (0.211, 0.000, 0.923)
Pm (0.243, 0.500, 0.312)
Pr (0.057, 0.000, 0.331)
Pr (0.136, 0.500, 0.778)
Er (0.000, 0.500, 0.000)

Values from the calculation:
- spin magnetization (μB/cell) = 0.00
- Fermi-level density of states (states/eV per atom) = 1.630


--- Q ---
Pm7Pr4Er | PBE | optimized geometry

abc: 6.378 7.355 9.158
angles: 89.93 76.41 89.94
Space group P-1 (No. 2)
Unique sites:
Pm (0.000, 0.000, 0.000)
Pm (0.218, 0.500, 0.331)
Pm (0.279, 0.252, 0.672)
Pm (0.500, 0.252, 0.000)
Pr (0.222, 0.000, 0.331)
Pr (0.280, 0.747, 0.670)
Er (0.000, 0.500, 0.000)

Values from the calculation:
- spin magnetization (μB/cell) = 0.00
- Fermi-level density of states (states/eV per atom) = 1.399


Which is the most stable structure? Q is the most stable.


--- P ---
Pm3Pr8Er2 | PBE | optimized geometry

abc: 7.783 5.859 11.000
angles: 90.00 110.71 90.00
Space group P2/m (No. 10)
Unique sites:
Pm (0.000, 0.000, 0.000)
Pm (0.287, 0.500, 0.000)
Pr (0.134, 0.500, 0.268)
Pr (0.185, 0.000, 0.785)
Pr (0.325, 0.500, 0.650)
Pr (0.400, 0.000, 0.215)
Er (0.240, 0.000, 0.482)

Values from the calculation:
- spin magnetization (μB/cell) = 0.00
- Fermi-level density of states (states/eV per atom) = 1.444


--- Q ---
Pm3Pr8Er2 | PBE | optimized geometry

abc: 13.305 11.972 6.260
angles: 90.00 113.07 90.00
Space group C2/m (No. 12)
Unique sites:
Pm (0.000, 0.000, 0.000)
Pm (0.000, 0.246, 0.500)
Pr (0.057, 0.500, 0.290)
Pr (0.152, 0.000, 0.550)
Pr (0.173, 0.255, 0.171)
Er (0.211, 0.500, 0.858)

Values from the calculation:
- spin magnetization (μB/cell) = 0.00
- Fermi-level density of states (states/eV per atom) = 1.755


Which is the most stable structure? Q is the most stable.


--- P ---
Pm3Pr2Er | PBE | optimized geometry

abc: 6.816 17.915 3.433
angles: 90.00 90.00 90.00
Space group Pnnm (No. 58)
Unique sites:
Pm (0.000, 0.000, 0.000)
Pm (0.244, 0.323, 0.000)
Pr (0.237, 0.151, 0.500)
Er (0.000, 0.500, 0.000)

Values from the calculation:
- spin magnetization (μB/cell) = 0.00
- Fermi-level density of states (states/eV per atom) = 1.667


--- Q ---
Pm3Pr2Er | PBE | optimized geometry

abc: 18.230 3.495 6.692
angles: 90.00 102.79 90.00
Space group C2/m (No. 12)
Unique sites:
Pm (0.000, 0.000, 0.000)
Pm (0.170, 0.000, 0.360)
Pr (0.161, 0.500, 0.849)
Er (0.000, 0.000, 0.500)

Values from the calculation:
- spin magnetization (μB/cell) = 0.00
- Fermi-level density of states (states/eV per atom) = 1.833


Which is the most stable structure? Q is the most stable.


--- P ---
Pm4Pr3Er2 | PBE | optimized geometry

abc: 6.293 6.300 9.634
angles: 70.92 89.83 60.07
Space group P-1 (No. 2)
Unique sites:
Pm (0.111, 0.113, 0.334)
Pm (0.334, 0.331, 0.000)
Pr (0.000, 0.000, 0.000)
Pr (0.445, 0.444, 0.335)
Er (0.221, 0.224, 0.665)

Values from the calculation:
- spin magnetization (μB/cell) = 0.00
- Fermi-level density of states (states/eV per atom) = 1.435


--- Q ---
Pm4Pr3Er2 | PBE | optimized geometry

abc: 3.6367 3.6367 27.1444
angles: 90.00 90.00 120.00
Space group P3m1 (No. 156)
Unique sites:
Pm (0.0000, 0.0000, 0.0000)
Pm (0.0000, 0.0000, 0.2227)
Pm (0.3333, 0.6667, 0.3311)
Pm (0.3333, 0.6667, 0.5569)
Pr (0.0000, 0.0000, 0.4437)
Pr (0.3333, 0.6667, 0.1080)
Pr (0.3333, 0.6667, 0.7711)
Er (0.0000, 0.0000, 0.6611)
Er (0.0000, 0.0000, 0.8759)

Values from the calculation:
- spin magnetization (μB/cell) = 0.00
- Fermi-level density of states (states/eV per atom) = 1.797


Which is the most stable structure? P is the most stable.


--- P ---
Pm4PrEr7 | PBE | optimized geometry

abc: 6.585 6.860 9.018
angles: 84.10 77.03 80.90
Space group P-1 (No. 2)
Unique sites:
Pm (0.140, 0.302, 0.290)
Pm (0.331, 0.890, 0.687)
Pr (0.500, 0.500, 0.000)
Er (0.015, 0.250, 0.952)
Er (0.182, 0.794, 0.354)
Er (0.312, 0.398, 0.617)
Er (0.500, 0.000, 0.000)

Values from the calculation:
- spin magnetization (μB/cell) = 0.00
- Fermi-level density of states (states/eV per atom) = 1.604


--- Q ---
Pm4PrEr7 | PBE | optimized geometry

abc: 12.143 5.891 12.721
angles: 90.00 117.94 90.00
Space group C2/m (No. 12)
Unique sites:
Pm (0.135, 0.000, 0.276)
Pm (0.232, 0.500, 0.172)
Pr (0.000, 0.500, 0.500)
Er (0.000, 0.000, 0.500)
Er (0.066, 0.500, 0.821)
Er (0.133, 0.000, 0.998)
Er (0.211, 0.500, 0.423)

Values from the calculation:
- spin magnetization (μB/cell) = 0.00
- Fermi-level density of states (states/eV per atom) = 1.623


Which is the most stable structure? P is the most stable.


--- P ---
PmPr7Er2 | PBE | optimized geometry

abc: 5.580 7.910 16.461
angles: 90.00 90.00 90.00
Space group Immm (No. 71)
Unique sites:
Pm (0.000, 0.000, 0.000)
Pr (0.000, 0.000, 0.500)
Pr (0.000, 0.301, 0.370)
Pr (0.000, 0.500, 0.157)
Er (0.000, 0.000, 0.213)

Values from the calculation:
- spin magnetization (μB/cell) = 0.08
- Fermi-level density of states (states/eV per atom) = 1.370


--- Q ---
PmPr7Er2 | PBE | optimized geometry

abc: 9.023 16.298 5.785
angles: 90.00 90.00 90.00
Space group Cmmm (No. 65)
Unique sites:
Pm (0.000, 0.000, 0.000)
Pr (0.000, 0.229, 0.000)
Pr (0.000, 0.500, 0.500)
Pr (0.180, 0.116, 0.500)
Er (0.000, 0.296, 0.500)

Values from the calculation:
- spin magnetization (μB/cell) = 0.00
- Fermi-level density of states (states/eV per atom) = 1.478


Which is the most stable structure? P is the most stable.


--- P ---
Pm7Pr12Er | PBE | optimized geometry

abc: 19.0592 19.0592 6.9684
angles: 90.00 90.00 120.00
Space group R-3 (No. 148, hexagonal axes)
Unique sites:
Pm (0.0000, 0.0000, 0.0000)
Pm (0.0063, 0.1546, 0.2799)
Pr (0.9999, 0.2126, 0.7910)
Pr (0.0075, 0.5381, 0.2412)
Er (0.0000, 0.0000, 0.5000)

Values from the calculation:
- spin magnetization (μB/cell) = 0.00
- Fermi-level density of states (states/eV per atom) = 1.268


--- Q ---
Pm7Pr12Er | PBE | optimized geometry

abc: 12.4478 12.4478 16.0137
angles: 90.00 90.00 120.00
Space group R-3 (No. 148, hexagonal axes)
Unique sites:
Pm (0.0000, 0.0000, 0.0000)
Pm (0.0574, 0.1868, 0.2969)
Pr (0.0240, 0.4470, 0.2216)
Pr (0.0589, 0.5905, 0.5803)
Er (0.0000, 0.0000, 0.5000)

Values from the calculation:
- spin magnetization (μB/cell) = 0.00
- Fermi-level density of states (states/eV per atom) = 2.011


Which is the most stable structure? Q is the most stable.


--- P ---
Pm2Pr12Er5 | PBE | optimized geometry

abc: 13.140 11.780 9.526
angles: 90.00 116.28 90.00
Space group C2/m (No. 12)
Unique sites:
Pm (0.000, 0.225, 0.000)
Pr (0.078, 0.000, 0.786)
Pr (0.108, 0.219, 0.417)
Pr (0.115, 0.500, 0.940)
Pr (0.195, 0.256, 0.801)
Er (0.000, 0.500, 0.500)
Er (0.190, 0.000, 0.234)
Er (0.196, 0.500, 0.340)

Values from the calculation:
- spin magnetization (μB/cell) = 0.00
- Fermi-level density of states (states/eV per atom) = 1.393


--- Q ---
Pm2Pr12Er5 | PBE | optimized geometry

abc: 20.894 10.295 6.191
angles: 90.00 94.86 90.00
Space group C2/m (No. 12)
Unique sites:
Pm (0.000, 0.203, 0.000)
Pr (0.071, 0.000, 0.397)
Pr (0.081, 0.500, 0.063)
Pr (0.119, 0.296, 0.617)
Pr (0.209, 0.316, 0.173)
Er (0.000, 0.500, 0.500)
Er (0.142, 0.000, 0.908)
Er (0.243, 0.000, 0.356)

Values from the calculation:
- spin magnetization (μB/cell) = 0.00
- Fermi-level density of states (states/eV per atom) = 1.424


Which is the most stable structure? P is the most stable.